A plane-wave DFT calculation with PBE+U was carried out for a relaxed K3NpMn2O6 crystal.

Unit cell a=5.7919 b=10.0656 c=6.4829 alpha=90.00 beta=107.06 gamma=90.00
Space group C2/m (No. 12)
Unique sites:
1 K 0.0000 0.0000 0.0000 [2 per cell]
2 K 0.0000 0.3254 0.0000 [4 per cell]
3 Np 0.0000 0.5000 0.5000 [2 per cell]
4 Mn 0.0000 0.1665 0.5000 [4 per cell]
5 O 0.2221 0.3405 0.6855 [8 per cell]
6 O 0.2447 0.0000 0.6882 [4 per cell]

The value obtained for the raw total energy is -7.059 eV/atom.